Entry 1:
## Cr2CdCu (PBE-GGA)

Data for a relaxed Cr2CdCu crystal.

SG = P4mm, No. 99
crystal system = tetragonal
energy of formation from the pure elements = 257 meV per atom

Cell and atoms, written as POSCAR:
```
Cr2CdCu
1.0
3.0297 0.0000 0.0000
0.0000 3.0312 0.0000
0.0000 0.0000 6.4229
Cd Cr Cu
1 2 1
direct
0.5000 0.5000 0.7412
0.0000 0.0000 0.0546
0.5000 0.5000 0.2303
0.0000 0.0000 0.4739
```



Entry 2:
## CaAgPbCl2 (PBE-GGA)

Data for a relaxed CaAgPbCl2 crystal.

SG = P4/mmm, No. 123
crystal system = tetragonal
uncorrected formation energy = -0.458 eV/atom

Cell and atoms, written as POSCAR:
```
CaAgPbCl2
1.0
5.7151 0.0000 0.0000
0.0000 5.7151 0.0000
0.0000 0.0000 5.7797
Pb Ca Ag Cl
1 1 1 2
direct
0.0000 0.0000 0.0000
0.5000 0.5000 0.5000
0.0000 0.0000 0.5000
0.0000 0.5000 0.0000
0.5000 0.0000 0.0000
```



Entry 3:
## Er5Cu4Pd (PBE-GGA)

Data for a relaxed Er5Cu4Pd crystal.

SG = P4/mmm, No. 123
crystal system = tetragonal
energy of formation from the pure elements = -407 meV per atom

Cell and atoms, written as POSCAR:
```
Er5Cu4Pd
1.0
3.4262 0.0000 0.0000
0.0000 3.4262 0.0000
0.0000 0.0000 17.4499
Er Cu Pd
5 4 1
direct
0.5000 0.5000 0.1011
0.5000 0.5000 0.3006
0.5000 0.5000 0.5000
0.5000 0.5000 0.6994
0.5000 0.5000 0.8989
0.0000 0.0000 0.2019
0.0000 0.0000 0.4008
0.0000 0.0000 0.5992
0.0000 0.0000 0.7981
0.0000 0.0000 0.0000
```



Entry 4:
## PaNiSn2 (PBE-GGA)

Data for a relaxed PaNiSn2 crystal.

SG = P4/mmm, No. 123
crystal system = tetragonal
distance to the lowest polymorph of the same formula = 0.244 eV/f.u.
energy of formation from the pure elements = -72 meV per atom

Cell and atoms, written as POSCAR:
```
PaNiSn2
1.0
3.2289 0.0000 0.0000
0.0000 3.2289 0.0000
0.0000 0.0000 7.9225
Ni Pa Sn
1 1 2
direct
0.5000 0.5000 0.0000
0.5000 0.5000 0.5000
0.0000 0.0000 0.7993
0.0000 0.0000 0.2007
```



Entry 5:
## Li2MgBe (PBE-GGA)

Data for a relaxed Li2MgBe crystal.

SG = P4mm, No. 99
crystal system = tetragonal
distance to the lowest polymorph of the same formula = 0.000 eV/f.u.
energy of formation from the pure elements = 153 meV per atom

Cell and atoms, written as POSCAR:
```
Li2MgBe
1.0
-1.4332 0.5759 2.6718
0.0839 -3.0065 0.6931
5.9345 0.8568 2.9986
Be Li Mg
1 2 1
direct
0.5000 0.5000 0.7725
0.0000 0.0000 0.9639
0.5000 0.5000 0.2261
0.0000 0.0000 0.5374
```



Entry 6:
## KYSn (PBE-GGA)

Data for a relaxed KYSn crystal.

SG = P6_3/mmc, No. 194
crystal system = hexagonal
distance to the lowest polymorph of the same formula = 3.845 eV/f.u.
energy of formation from the pure elements = 886 meV per atom

Cell and atoms, written as POSCAR:
```
KYSn
1.0
-1.2715 -0.1273 -6.6741
-1.2950 -5.4753 3.8106
-10.5965 3.8601 1.9452
Y K Sn
2 2 2
direct
0.0000 0.0000 0.2500
0.0000 0.0000 0.7500
0.3333 0.6667 0.2500
0.6667 0.3333 0.7500
0.0000 0.0000 0.0000
0.0000 0.0000 0.5000
```



no.,total magnetization (μB/cell)
1,0.1
2,0.0
3,0.0
4,0.1
5,0.0
6,0.0